1.
Here is crystalline MoPSe2N at its relaxed geometry from Alexandria. Energies are from PBE-GGA.

Output
- energy (eV per cell) = -28.723
- ΔE_f (raw) (kcal/mol of atoms) = 12.97
- calculated volume (A^3/atom) = 19.18
- total moment (μB per cell) = 0.000

Cell lengths 5.0473, 5.0473, 3.7645 Å; angles 90.00, 90.00, 90.00 degrees
Element x y z (fractional)
P 0.5000 0.5000 0.5000
Mo 0.0000 0.0000 0.0000
Se 0.0000 0.5000 0.0000
Se 0.5000 0.0000 0.0000
N 0.0000 0.0000 0.5000

=====

2.
Here is crystalline MoPSeN2 at its relaxed geometry from Alexandria. Energies are from PBE-GGA.

Output
- energy (eV per cell) = -30.617
- ΔE_f (raw) (kcal/mol of atoms) = 26.56
- calculated volume (A^3/atom) = 16.80
- total moment (μB per cell) = 1.555

Cell lengths 3.4463, 3.4463, 7.0742 Å; angles 90.00, 90.00, 90.00 degrees
Element x y z (fractional)
P 0.0000 0.0000 0.0000
Mo 0.5000 0.5000 0.5000
Se 0.0000 0.0000 0.5000
N 0.0000 0.5000 0.0000
N 0.5000 0.0000 0.0000

=====

3.
Here is crystalline MoPSe2N at its relaxed geometry from Alexandria. Energies are from PBE-GGA.

Output
- energy (eV per cell) = -27.773
- ΔE_f (raw) (kcal/mol of atoms) = 17.35
- calculated volume (A^3/atom) = 16.13
- total moment (μB per cell) = 2.542

Cell lengths 4.9761, 4.9761, 3.2566 Å; angles 90.00, 90.00, 90.00 degrees
Element x y z (fractional)
P 0.0000 0.0000 0.0000
Mo 0.5000 0.5000 0.5000
Se 0.0000 0.5000 0.0000
Se 0.5000 0.0000 0.0000
N 0.0000 0.0000 0.5000